# 1
Here is a geometry-optimized Pm3Sm3Zn2Hg structure from the Alexandria database. Energies are from PBE.

Geometry as extended XYZ:
```
9
Lattice="3.716 0.000 0.000 0.000 8.869 0.000 0.000 -4.435 7.681" Properties=species:S:1:pos:R:3 pbc="T T T"
Sm 0.000 2.727 4.724
Sm 0.000 -1.707 2.957
Sm 0.000 3.415 0.000
Zn 1.858 4.435 2.560
Zn 1.858 0.000 5.121
Pm 1.858 -3.152 5.460
Pm 1.858 1.282 2.221
Pm 1.858 6.305 0.000
Hg 0.000 0.000 0.000
```

E, Ha/atom: -0.134
SG: P-62m, No. 189
Crystal system: hexagonal
Spin magnetization, μB/cell: 0.00
Formation energy from the elements, eV per formula unit: -1.47

---

# 2
Here is a geometry-optimized Pm5SnHg3 structure from the Alexandria database. Energies are from PBE.

Geometry as extended XYZ:
```
18
Lattice="6.647 0.000 0.000 0.000 9.502 0.000 0.000 -4.751 8.230" Properties=species:S:1:pos:R:3 pbc="T T T"
Pm 0.000 0.000 5.486
Pm 1.662 -3.397 5.886
Pm 4.985 2.707 0.000
Pm 1.662 6.795 0.000
Pm 4.985 3.397 5.886
Pm 4.985 8.148 2.344
Pm 1.662 1.354 2.344
Pm 3.323 0.000 5.486
Pm 3.323 4.751 2.744
Pm 0.000 4.751 2.744
Hg 1.662 3.627 0.000
Hg 4.985 1.813 3.141
Hg 4.985 5.875 0.000
Hg 4.985 -2.938 5.089
Hg 1.662 2.938 5.089
Hg 1.662 7.688 3.141
Sn 0.000 0.000 0.000
Sn 3.323 0.000 0.000
```

E, Ha/atom: -0.134
SG: P6_3/mcm, No. 193
Crystal system: hexagonal
Spin magnetization, μB/cell: 0.00
Formation energy from the elements, eV per formula unit: -4.13

---

# 3
Here is a geometry-optimized Pm3SnHg structure from the Alexandria database. Energies are from PBE.

Geometry as extended XYZ:
```
5
Lattice="5.756 0.000 0.000 0.000 6.870 0.000 0.000 -3.435 4.935" Properties=species:S:1:pos:R:3 pbc="T T T"
Pm 0.000 1.866 2.683
Pm 0.000 -1.866 2.683
Pm 2.878 0.000 4.622
Sn 2.878 3.435 3.269
Hg 0.000 3.435 0.111
```

E, Ha/atom: -0.137
SG: Amm2, No. 38
Crystal system: orthorhombic
Spin magnetization, μB/cell: 0.00
Formation energy from the elements, eV per formula unit: -0.05

---

# 4
Here is a geometry-optimized Pm3SnHg2 structure from the Alexandria database. Energies are from PBE.

Geometry as extended XYZ:
```
12
Lattice="-0.240 3.705 -0.690 -3.743 -0.951 -3.804 -11.853 1.342 11.329" Properties=species:S:1:pos:R:3 pbc="T T T"
Hg -4.188 3.464 -0.606
Hg -11.887 4.336 6.752
Hg -3.849 0.437 3.679
Hg -8.003 0.907 7.650
Pm -6.046 2.521 5.320
Pm -1.992 1.380 -2.247
Pm -9.876 2.268 5.290
Pm -2.078 2.076 1.526
Pm -5.960 1.825 1.546
Pm -10.015 2.975 9.112
Sn 0.000 0.002 0.000
Sn -8.038 3.899 3.073
```

Relative energy among the computed polymorphs, meV per atom: 0
E, Ha/atom: -0.136
SG: Cmmm, No. 65
Crystal system: orthorhombic
Spin magnetization, μB/cell: 0.00
Formation energy from the elements, eV per formula unit: -3.36

---

# 5
Here is a geometry-optimized Pm3Sn2Hg structure from the Alexandria database. Energies are from PBE.

Geometry as extended XYZ:
```
24
Lattice="-3.031 0.853 -3.507 3.083 -10.350 -5.182 -9.098 -5.925 6.421" Properties=species:S:1:pos:R:3 pbc="T T T"
Pm -0.509 -8.118 -3.119
Pm -6.278 -9.010 -1.517
Pm -8.428 -5.645 4.327
Pm -0.618 -9.777 -6.595
Pm -4.671 -12.379 -0.558
Pm 0.026 -3.928 -2.562
Pm -3.744 -11.148 -4.228
Pm -2.768 -6.412 -0.751
Pm -9.072 -11.494 0.293
Pm -4.375 -3.043 -1.710
Pm -5.302 -4.274 1.959
Pm -8.537 -7.305 0.850
Sn -2.485 -5.363 -3.907
Sn -3.135 -9.723 -1.240
Sn -5.911 -5.699 -1.029
Sn -8.419 -3.677 1.631
Sn -7.245 -14.160 1.232
Sn -0.627 -11.745 -3.899
Sn -6.561 -10.059 1.639
Sn -1.801 -1.262 -3.501
Hg -7.406 -13.267 -1.578
Hg -5.543 -7.288 1.433
Hg -3.504 -8.134 -3.702
Hg -1.640 -2.155 -0.691
```

E, Ha/atom: -0.161
SG: Pnma, No. 62
Crystal system: orthorhombic
Spin magnetization, μB/cell: 0.00
Formation energy from the elements, eV per formula unit: -3.74

---

# 6
Here is a geometry-optimized Pm3Sn2Hg4 structure from the Alexandria database. Energies are from PBE.

Geometry as extended XYZ:
```
9
Lattice="4.699 0.000 0.000 -2.350 5.924 -0.341 0.000 -2.922 8.928" Properties=species:S:1:pos:R:3 pbc="T T T"
Hg 0.000 0.141 7.975
Hg 2.350 2.862 0.613
Hg 0.000 -0.920 3.128
Hg 2.350 3.923 5.460
Pm 0.000 0.000 0.000
Pm 0.000 2.812 2.955
Pm 2.350 0.190 5.633
Sn 2.350 0.576 2.384
Sn 0.000 2.427 6.203
```

E, Ha/atom: -0.115
SG: C2/m, No. 12
Crystal system: monoclinic
Spin magnetization, μB/cell: 0.00
Formation energy from the elements, eV per formula unit: -4.62

---

# 7
Here is a geometry-optimized Pm3Sn3Hg structure from the Alexandria database. Energies are from PBE.

Geometry as extended XYZ:
```
14
Lattice="-2.962 -0.293 -5.550 -2.676 -8.742 1.889 -5.410 7.183 2.508" Properties=species:S:1:pos:R:3 pbc="T T T"
Pm -3.482 -3.112 -3.337
Pm -7.436 -1.631 -1.305
Pm -6.508 -6.216 -1.559
Pm -3.612 -0.220 0.153
Pm -7.565 1.260 2.184
Pm -4.540 4.365 0.406
Hg -4.328 -3.507 0.708
Hg -6.720 1.655 -1.861
Sn -4.905 -6.312 1.164
Sn -6.143 4.460 -2.316
Sn -6.199 -1.479 1.599
Sn -1.880 -2.730 -0.639
Sn -4.849 -0.373 -2.752
Sn -9.167 0.878 -0.514
```

Relative energy among the computed polymorphs, meV per atom: 254
E, Ha/atom: -0.155
SG: P6_3/m, No. 176
Crystal system: hexagonal
Spin magnetization, μB/cell: 0.00
Formation energy from the elements, eV per formula unit: -2.88

---

# 8
Here is a geometry-optimized Pm6SnHg5 structure from the Alexandria database. Energies are from PBE.

Geometry as extended XYZ:
```
12
Lattice="5.274 0.002 -1.107 -0.003 7.647 -0.001 -0.984 0.000 8.503" Properties=species:S:1:pos:R:3 pbc="T T T"
Pm 0.543 1.926 2.644
Pm 2.636 1.899 -0.554
Pm 3.746 1.928 4.752
Pm 0.541 5.721 2.644
Pm 2.634 5.750 -0.554
Pm 3.744 5.723 4.752
Hg -0.002 3.823 0.000
Hg 3.178 3.825 2.092
Hg 3.199 0.002 2.198
Hg 1.109 3.824 5.304
Hg 1.091 0.001 5.199
Sn 0.000 0.000 0.000
```

Relative energy among the computed polymorphs, meV per atom: 0
E, Ha/atom: -0.123
SG: P2/m, No. 10
Crystal system: monoclinic
Spin magnetization, μB/cell: 2.52
Formation energy from the elements, eV per formula unit: -6.22

---

# 9
Here is a geometry-optimized Pm3Sn3Hg2 structure from the Alexandria database. Energies are from PBE.

Geometry as extended XYZ:
```
8
Lattice="-1.685 -4.449 0.643 2.265 -0.312 3.763 -8.082 1.483 7.052" Properties=species:S:1:pos:R:3 pbc="T T T"
Pm -0.875 -1.450 5.571
Pm 0.290 -2.381 2.203
Pm -6.627 -1.828 5.888
Sn -2.411 -3.727 3.720
Sn 0.000 0.000 0.000
Sn -5.091 0.449 7.739
Hg -3.488 -2.897 6.652
Hg -4.014 -0.381 4.807
```

E, Ha/atom: -0.144
SG: P-1, No. 2
Crystal system: triclinic
Spin magnetization, μB/cell: 0.00
Formation energy from the elements, eV per formula unit: -4.50

---

# 10
Here is a geometry-optimized Pm2SnHg2 structure from the Alexandria database. Energies are from PBE.

Geometry as extended XYZ:
```
10
Lattice="-4.050 -1.416 1.798 -0.551 -6.217 -0.119 2.044 -0.328 10.362" Properties=species:S:1:pos:R:3 pbc="T T T"
Pm -2.241 -3.033 4.599
Pm -0.540 -4.734 1.073
Pm -2.017 -3.227 10.968
Pm -0.316 -4.928 7.442
Hg -3.151 -5.999 6.231
Hg 0.594 -1.961 5.810
Hg -1.280 -1.788 1.726
Hg -1.277 -6.173 10.315
Sn -1.466 -6.166 3.878
Sn -1.091 -1.794 8.163
```

Relative energy among the computed polymorphs, meV per atom: 0
E, Ha/atom: -0.122
SG: C2/m, No. 12
Crystal system: monoclinic
Spin magnetization, μB/cell: 0.00
Formation energy from the elements, eV per formula unit: -2.52